20
Lattice="3.9828 0.0000 0.0000 0.0000 9.3833 0.0000 0.0000 0.0000 9.3833" Properties=species:S:1:pos:R:3 comment="PBE Na2Cu2Pd5Pb, relaxed" delta_e_f_ev_per_atom=-0.15 space_group="P4/mbm, No. 127" vol_a3_per_atom=17.534 energy_ev_per_atom=-4.198 pbc="T T T"
Na 0.0000 6.3249 1.6333
Na 0.0000 3.0584 7.7500
Na 0.0000 1.6333 3.0584
Na 0.0000 7.7500 6.3249
Cu 0.0000 1.1330 5.8247
Cu 0.0000 8.2502 3.5586
Cu 0.0000 5.8247 8.2502
Cu 0.0000 3.5586 1.1330
Pd 1.9914 1.9607 0.6659
Pd 1.9914 7.4226 8.7174
Pd 1.9914 0.6659 7.4226
Pd 1.9914 6.6523 4.0257
Pd 1.9914 8.7174 1.9607
Pd 1.9914 2.7310 5.3575
Pd 1.9914 5.3575 6.6523
Pd 1.9914 4.0257 2.7310
Pd 1.9914 4.6916 0.0000
Pd 1.9914 0.0000 4.6916
Pb 0.0000 0.0000 0.0000
Pb 0.0000 4.6916 4.6916

***

32
Lattice="-5.7630 7.4433 1.2949 -9.7487 -7.8194 1.5598 2.8017 -0.4684 15.1621" Properties=species:S:1:pos:R:3 comment="PBE CsCd, relaxed" delta_e_f_ev_per_atom=0.02 space_group="Fddd, No. 70" vol_a3_per_atom=57.689 energy_ev_per_atom=-0.863 pbc="T T T"
Cs -7.7599 -6.2241 1.2416
Cs -1.9888 -1.5952 0.3182
Cs -10.0407 -5.7161 5.6023
Cs -6.0630 -2.5256 4.9659
Cs -1.4847 -2.5487 8.0427
Cs -5.4623 -5.7391 8.6792
Cs -3.7655 -2.0406 12.4035
Cs 0.2122 1.1499 11.7670
Cs -9.2405 -2.7367 9.4701
Cs -3.4695 1.8922 8.5467
Cs -11.5213 -2.2286 13.8308
Cs -7.5437 0.9618 13.1944
Cs -5.7670 1.4072 1.1091
Cs -9.7447 -1.7833 1.7456
Cs -8.0479 1.9153 5.4699
Cs -4.0702 5.1057 4.8334
Cd -1.9879 2.5675 0.4467
Cd -3.7751 4.8758 0.8482
Cd -11.8270 0.7550 6.1323
Cd -10.0398 -1.5533 5.7308
Cd -5.4614 -1.5764 8.8076
Cd -7.2486 0.7319 9.2092
Cd -5.5518 4.4304 12.9335
Cd -3.7646 2.1221 12.5319
Cd -3.4686 6.0549 8.6751
Cd 0.5072 0.9199 7.7818
Cd -7.5446 -3.2009 13.0659
Cd -5.7574 -5.5092 12.6644
Cd -9.7438 2.3795 1.8740
Cd -5.7680 -2.7555 0.9807
Cd -4.0711 0.9430 4.7050
Cd -2.2839 -1.3653 4.3034